The following is a PBE calculation of a relaxed As2Ru3 crystal, from Alexandria via LeMat-Bulk.

Unit cell a=10.0929 b=10.0929 c=10.0929 alpha=16.63 beta=16.63 gamma=16.63
Fractional coordinates of all 5 atoms:
As 0.1022 0.1022 0.1022
As 0.8978 0.8978 0.8978
Ru 0.2990 0.2990 0.2990
Ru 0.5000 0.5000 0.5000
Ru 0.7010 0.7010 0.7010

Output
The formation energy comes out at 0.073 eV per atom. The density of states at the Fermi level is 3.43 states/eV per cell. The polymorph energy (0 for the lowest one) comes out at 84 meV/atom.